Record 1
12
Lattice="7.5361 0.0000 0.0000 0.1193 7.9836 0.0000 0.0268 0.0253 9.8656" Properties=species:S:1:pos:R:3 comment="RbAcSn2I8 GGA-PBE relaxed" formation_energy_uncorrected_ev_per_fu=-11.69 vol_a3_per_atom=49.46 pbc="T T T"
Rb 0.0000 0.0000 0.0000
Ac 0.0134 0.0127 4.9328
Sn 3.8300 3.9956 2.4075
Sn 3.8523 4.0133 7.4581
I 1.9423 2.7182 4.9281
I 2.1097 6.7040 7.1911
I 2.1011 6.6957 2.6709
I 2.0903 3.0001 0.0129
I 5.5920 5.0088 9.8528
I 5.5812 1.3132 7.1947
I 5.5726 1.3049 2.6745
I 5.7401 5.2907 4.9375

---

Record 2
8
Lattice="-1.7978 1.7978 8.5338 1.7978 -1.7978 8.5338 1.7978 1.7978 -8.5338" Properties=species:S:1:pos:R:3 comment="BeCr2Br GGA-PBE relaxed" formation_energy_uncorrected_ev_per_fu=3.68 vol_a3_per_atom=13.79 polymorph_energy_mev_per_atom=542 pbc="T T T"
Be 0.0000 0.0000 0.0000
Be 0.0000 1.7978 4.2669
Cr 2.6968 0.6796 -2.1335
Cr 0.6796 0.8989 2.1335
Cr -0.8989 1.1183 6.4004
Cr 1.1183 0.8989 10.6673
Br 1.7978 0.0000 4.2669
Br 0.0000 0.0000 8.5338

---

Record 3
5
Lattice="5.2685 0.0000 0.0000 0.0000 5.2685 0.0000 0.0000 0.0000 4.6441" Properties=species:S:1:pos:R:3 comment="IrCSeBr2 GGA-PBE relaxed" formation_energy_uncorrected_ev_per_fu=8.30 vol_a3_per_atom=25.78 polymorph_energy_mev_per_atom=0 pbc="T T T"
Ir 0.0000 0.0000 0.0000
C 2.6343 2.6343 2.3221
Se 0.0000 0.0000 2.3221
Br 0.0000 2.6343 0.0000
Br 2.6343 0.0000 0.0000

---

Record 4
4
Lattice="0.0000 3.0154 3.0154 3.0154 0.0000 3.0154 3.0154 3.0154 0.0000" Properties=species:S:1:pos:R:3 comment="LaCoB2 GGA-PBE relaxed" vol_a3_per_atom=13.71 formation_energy_mev_per_atom=668 polymorph_energy_mev_per_atom=902 pbc="T T T"
La 0.0000 0.0000 0.0000
Co 3.0154 3.0154 3.0154
B 1.5077 1.5077 1.5077
B 4.5231 4.5231 4.5231

---

Record 5
18
Lattice="6.7265 0.0000 0.0000 0.0000 6.7265 0.0000 0.0000 0.0000 5.3615" Properties=species:S:1:pos:R:3 comment="LiSm2SiO5 GGA-PBE relaxed" formation_energy_uncorrected_ev_per_fu=-22.91 vol_a3_per_atom=13.48 pbc="T T T"
Li 0.0000 0.0000 0.0000
Li 3.3632 3.3632 0.0000
Sm 1.2075 2.1557 2.6808
Sm 2.1557 5.5190 2.6808
Sm 4.5707 1.2075 2.6808
Sm 5.5190 4.5707 2.6808
Si 0.0000 3.3632 0.0000
Si 3.3632 0.0000 0.0000
O 0.0000 0.0000 2.6808
O 0.8492 4.2124 1.2372
O 0.8492 4.2124 4.1244
O 2.5141 0.8492 1.2372
O 2.5141 0.8492 4.1244
O 3.3632 3.3632 2.6808
O 4.2124 5.8773 1.2372
O 4.2124 5.8773 4.1244
O 5.8773 2.5141 1.2372
O 5.8773 2.5141 4.1244

---

Record 6
9
Lattice="5.8777 -3.7534 0.0000 5.8777 3.7534 0.0000 -0.3959 0.0000 6.0661" Properties=species:S:1:pos:R:3 comment="Tl2OsBr4O2 GGA-PBE relaxed" formation_energy_uncorrected_ev_per_fu=-5.99 vol_a3_per_atom=29.74 pbc="T T T"
Tl 1.7135 0.0000 1.4713
Tl 9.6459 0.0000 4.5948
Os 5.8777 0.0000 0.0000
Br 4.5838 1.8454 1.2556
Br 6.7756 1.8454 4.8105
Br 4.5838 -1.8454 1.2556
Br 6.7756 -1.8454 4.8105
O 4.2471 0.0000 4.8187
O 7.1123 0.0000 1.2473

---

Record 7
8
Lattice="-2.5063 2.5063 13.3569 2.5063 -2.5063 13.3569 2.5063 2.5063 -13.3569" Properties=species:S:1:pos:R:3 comment="Ca2AcPr GGA-PBE relaxed" vol_a3_per_atom=41.95 formation_energy_mev_per_atom=366 polymorph_energy_mev_per_atom=348 pbc="T T T"
Ca 3.7595 1.2320 -3.3392
Ca 1.2320 1.2532 3.3392
Ca -1.2532 1.2743 10.0177
Ca 1.2743 1.2532 16.6961
Ac 2.5063 0.0000 6.6784
Ac 0.0000 0.0000 13.3569
Pr 0.0000 0.0000 0.0000
Pr 0.0000 2.5063 6.6784

---

Record 8
12
Lattice="3.0673 -5.3057 0.0000 3.0673 5.3057 0.0000 -2.0373 0.0000 11.5616" Properties=species:S:1:pos:R:3 comment="DyY6Ho2Tm3 GGA-PBE relaxed" vol_a3_per_atom=31.36 formation_energy_mev_per_atom=26 pbc="T T T"
Dy 0.0000 0.0000 0.0000
Y 1.0259 1.7688 2.9019
Y 0.0047 0.0000 8.6582
Y 1.0259 -1.7688 2.9019
Y 3.0715 1.7688 8.6597
Y 4.0927 0.0000 2.9034
Y 3.0715 -1.7688 8.6597
Ho 3.0673 1.7680 0.0000
Ho 3.0673 -1.7680 0.0000
Tm 2.0487 3.5360 5.7808
Tm 2.0487 0.0000 5.7808
Tm 2.0487 -3.5360 5.7808

---

no.,DFT total energy (eV per atom),ρ (g/cm³)
1,-3.0979,4.379
2,-5.2412,5.807
3,-3.3237,5.707
4,-5.6793,6.646
5,-7.1640,5.692
6,-4.2845,5.898
7,-2.8571,4.434
8,-5.4701,6.763